No. 1
Here is a relaxed PmGa3Ir3 crystal from Alexandria. Energies are from PBE-GGA.

POSCAR file:
```
PmGa3Ir3
1.0
6.759 0.000 0.000
0.000 6.759 0.000
0.000 0.000 6.759
Ga Pm Ir
6 2 6
Cartesian
1.690 0.000 3.380
3.380 1.690 0.000
5.069 0.000 3.380
0.000 3.380 1.690
0.000 3.380 5.069
3.380 5.069 0.000
3.380 3.380 3.380
0.000 0.000 0.000
3.380 0.000 1.690
0.000 5.069 3.380
0.000 1.690 3.380
3.380 0.000 5.069
1.690 3.380 0.000
5.069 3.380 0.000
```

Output
formation energy from the elements: -0.053 eV/f.u.
raw total energy: -80.93 eV for the cell shown
spin magnetization: 0.00 μB/f.u.

***

No. 2
Here is a relaxed Dy6Y12Th crystal from Alexandria. Energies are from PBE-GGA.

POSCAR file:
```
Dy6Y12Th
1.0
8.479 0.726 0.870
-0.568 8.491 0.870
-0.568 -0.661 8.510
Y Dy Th
12 6 1
Cartesian
-0.237 1.514 3.182
3.909 3.604 7.461
6.027 4.879 4.879
4.481 8.356 8.191
4.374 2.003 4.578
2.969 6.553 5.672
1.317 3.677 5.371
3.435 4.952 2.789
7.580 7.042 7.068
1.533 3.131 0.564
2.863 0.200 2.059
5.811 5.425 9.685
5.632 8.056 4.062
1.673 5.954 8.652
7.109 2.783 7.405
5.670 2.602 1.598
0.234 5.773 2.845
1.712 0.500 6.188
0.000 0.000 0.000
```

Output
energy above the most stable polymorph in this dataset: 6 meV/atom
formation energy from the elements: 2.695 eV/f.u.
raw total energy: -109.91 eV for the cell shown
spin magnetization: 0.00 μB/f.u.

***

No. 3
Here is a relaxed AlP2BrO crystal from Alexandria. Energies are from PBE-GGA.

POSCAR file:
```
AlP2BrO
1.0
5.004 0.000 0.000
0.000 5.004 0.000
0.000 0.000 3.470
P Al Br O
2 1 1 1
Cartesian
0.000 2.502 0.000
2.502 0.000 0.000
0.000 0.000 0.000
2.502 2.502 1.735
0.000 0.000 1.735
```

Output
energy above the most stable polymorph in this dataset: 0 meV/atom
formation energy without anion corrections: -0.025 eV per atom
raw total energy: -21.32 eV for the cell shown
spin magnetization: 0.00 μB/f.u.

***

No. 4
Here is a relaxed CeSmTe2 crystal from Alexandria. Energies are from PBE-GGA.

POSCAR file:
```
CeSmTe2
1.0
5.444 0.000 0.000
2.722 4.715 0.000
2.722 1.572 4.445
Ce Te Sm
1 2 1
Cartesian
0.000 0.000 0.000
2.722 1.572 1.111
8.166 4.715 3.334
5.444 3.143 2.223
```

Output
energy above the most stable polymorph in this dataset: 130 meV/atom
formation energy without anion corrections: -1.255 eV per atom
raw total energy: -21.96 eV for the cell shown
spin magnetization: 1.92 μB/f.u.

***

No. 5
Here is a relaxed SbWAu2 crystal from Alexandria. Energies are from PBE-GGA.

POSCAR file:
```
SbWAu2
1.0
4.437 0.000 0.000
0.000 4.104 0.000
0.000 0.000 4.104
Au W Sb
2 1 1
Cartesian
0.000 2.052 2.052
0.000 0.000 0.000
2.218 0.000 2.052
2.218 2.052 0.000
```

Output
formation energy without anion corrections: 0.560 eV per atom
raw total energy: -21.39 eV for the cell shown
spin magnetization: 0.97 μB/f.u.

***

No. 6
Here is a relaxed AlZnIn2 crystal from Alexandria. Energies are from PBE-GGA.

POSCAR file:
```
AlZnIn2
1.0
-3.863 1.376 -1.786
-2.159 -1.219 3.730
0.646 3.991 1.678
In Zn Al
2 1 1
Cartesian
-3.011 0.079 0.972
0.000 0.000 0.000
-1.609 2.684 -0.054
-0.756 1.386 2.704
```

Output
formation energy from the elements: 0.643 eV/f.u.
raw total energy: -9.85 eV for the cell shown
spin magnetization: 0.00 μB/f.u.

***

No. 7
Here is a relaxed LiPaFePt crystal from Alexandria. Energies are from PBE-GGA.

POSCAR file:
```
LiPaFePt
1.0
-2.305 -0.501 -3.948
-0.436 -4.167 -1.895
-4.092 -2.099 -0.023
Li Fe Pt Pa
1 1 1 1
Cartesian
-3.416 -3.384 -2.933
-1.708 -1.692 -1.467
-5.124 -5.076 -4.400
0.000 0.000 0.000
```

Output
formation energy from the elements: -1.066 eV/f.u.
raw total energy: -26.98 eV for the cell shown
spin magnetization: 0.54 μB/f.u.

***

No. 8
Here is a relaxed HfZr2TlSi crystal from Alexandria. Energies are from PBE-GGA.

POSCAR file:
```
HfZr2TlSi
1.0
-2.455 4.678 0.164
-3.223 -1.558 -3.787
-3.351 -1.886 3.627
Zr Tl Si Hf
2 1 1 1
Cartesian
-1.228 2.339 0.082
-1.675 -0.943 1.814
0.000 0.000 0.000
-4.514 0.617 0.002
-1.611 -0.779 -1.894
```

Output
energy above the most stable polymorph in this dataset: 1293 meV/atom
formation energy without anion corrections: 1.353 eV per atom
raw total energy: -28.08 eV for the cell shown
spin magnetization: 1.26 μB/f.u.